Density functional theory data (PBE) for a geometry-optimized WSI3 structure.

The electronic total energy is -2.85 eV/atom. The calculation puts the density at 5912 kg/m³. As for the uncorrected formation energy: 1.50 eV/atom. The spin magnetization comes out at 4.86 μB/cell. The energy above the most stable polymorph in this dataset is 0.587 eV per atom. As for the symmetry: Pm-3m, No. 221.

a = 5.513 Å, b = 5.513 Å, c = 5.513 Å
α = 90.00°, β = 90.00°, γ = 90.00°
Element x y z (fractional)
W 0.000 0.000 0.000
S 0.500 0.500 0.500
I 0.000 0.500 0.500
I 0.500 0.000 0.500
I 0.500 0.500 0.000